[1]
Here is an optimized crystal structure of VCr2Ga from Alexandria via LeMat-Bulk. Energies are from GGA-PBE.

Properties
- Total magnetic moment: 0.00 μB/cell
- Formation energy from the elements: 57.50 kJ per mole of atoms
- E_tot: -7.2521 eV per atom

```
data_VCr2Ga
_cell_length_a 6.597
_cell_length_b 6.597
_cell_length_c 5.069
_cell_angle_alpha 90.00
_cell_angle_beta 90.00
_cell_angle_gamma 90.00
_space_group_name_H-M_alt 'I -4 2 d'
_space_group_IT_number 122
_space_group_name_Hall 'I -4 2bw'
loop_
_atom_site_label
_atom_site_fract_x
_atom_site_fract_y
_atom_site_fract_z
_atom_site_occupancy
V1 0.000 0.000 0.000 1
Cr1 0.224 0.250 0.125 1
Ga1 0.000 0.000 0.500 1
```

***

[2]
Here is an optimized crystal structure of V3Cr2Ga2 from Alexandria via LeMat-Bulk. Energies are from GGA-PBE.

Properties
- Total magnetic moment: 0.00 μB/cell
- Formation energy from the elements: -11.33 kJ per mole of atoms
- E_tot: -7.6398 eV per atom

```
data_V3Cr2Ga2
_cell_length_a 9.053
_cell_length_b 3.076
_cell_length_c 6.683
_cell_angle_alpha 90.00
_cell_angle_beta 95.56
_cell_angle_gamma 90.00
_space_group_name_H-M_alt 'C 1 2/m 1'
_space_group_IT_number 12
loop_
_space_group_symop_operation_xyz
'x,y,z'
'-x,-y,-z'
'-x,y,-z'
'x,-y,z'
'x+1/2,y+1/2,z'
'-x+1/2,-y+1/2,-z'
'-x+1/2,y+1/2,-z'
'x+1/2,-y+1/2,z'
loop_
_atom_site_label
_atom_site_fract_x
_atom_site_fract_y
_atom_site_fract_z
_atom_site_occupancy
V1 0.000 0.000 0.000 1
V2 0.150 0.000 0.419 1
Cr1 0.199 0.500 0.137 1
Ga1 0.083 0.500 0.721 1
```